{
  "formula": "Nd2MnGeO6",
  "functional": "PBE with a Hubbard U",
  "state": "relaxed",
  "lattice": [[5.3432, 0.0000, 0.0000], [0.0000, 5.3432, 0.0000], [0.0000, 0.0000, 4.8336]],
  "species": ["Nd", "Nd", "Mn", "Ge", "O", "O", "O", "O", "O", "O"],
  "frac_coords": [[0.0000, 0.5000, 0.0000], [0.5000, 0.0000, 0.0000], [0.0000, 0.0000, 0.5501], [0.5000, 0.5000, 0.5807], [0.0000, 0.0000, 0.1293], [0.2649, 0.2649, 0.7010], [0.2649, 0.7351, 0.7010], [0.5000, 0.5000, 0.2078], [0.7351, 0.2649, 0.7010], [0.7351, 0.7351, 0.7010]],
  "dos_at_fermi_per_ev_fu": 0.00,
  "energy_ev_per_cell": -75.97
}